{
  "formula": "Tb5PmSm2Ho",
  "functional": "PBE-GGA",
  "state": "relaxed",
  "e_tot_ev_per_atom": -4.38,
  "ef_ev_per_atom": 0.28,
  "dos_at_fermi_per_ev_atom": 1.250,
  "cell": [[-2.098, 7.528, 3.931], [-6.299, -4.095, 4.481], [9.233, -3.268, 1.454]],
  "species": ["Ho", "Ho", "Pm", "Pm", "Tb", "Tb", "Tb", "Tb", "Tb", "Tb", "Tb", "Tb", "Tb", "Tb", "Sm", "Sm", "Sm", "Sm"],
  "fractional_positions": [[0.250, 0.750, 0.500], [0.750, 0.250, 0.500], [0.750, 0.750, 0.500], [0.250, 0.250, 0.500], [0.500, 0.500, 0.000], [0.428, 0.346, 0.275], [0.154, 0.072, 0.725], [0.928, 0.428, 0.275], [0.346, 0.846, 0.275], [0.000, 0.000, 0.000], [0.846, 0.928, 0.275], [0.072, 0.572, 0.725], [0.572, 0.654, 0.725], [0.654, 0.154, 0.725], [0.617, 0.117, 0.000], [0.383, 0.883, 0.000], [0.883, 0.617, 0.000], [0.117, 0.383, 0.000]]
}